1.
Here is crystalline FeGe2Os at its relaxed geometry from the Alexandria database. Energies are from PBE.

```
data_FeGe2Os
_space_group_name_H-M_alt 'R -3 m'
_space_group_IT_number 166
_space_group_name_Hall '-R 3 2"'
_cell_length_a 2.9329
_cell_length_b 2.9329
_cell_length_c 26.1529
_cell_angle_alpha 90.00
_cell_angle_beta 90.00
_cell_angle_gamma 120.00
loop_
_atom_site_label
_atom_site_fract_x
_atom_site_fract_y
_atom_site_fract_z
_atom_site_occupancy
Fe1 0.0000 0.0000 0.0000 1
Ge1 0.0000 0.0000 0.0927 1
Os1 0.0000 0.0000 0.5000 1
```

As for the formation energy: 356 meV/atom. As for the energy above the most stable polymorph in this dataset: 0.250 eV/atom. The calculation puts the total energy at -82.51 eV/cell.



2.
Here is crystalline SrReCl at its relaxed geometry from the Alexandria database. Energies are from PBE.

```
data_SrReCl
_space_group_name_H-M_alt 'F -4 3 m'
_space_group_IT_number 216
_space_group_name_Hall 'F -4 2 3'
_cell_length_a 7.0363
_cell_length_b 7.0363
_cell_length_c 7.0363
_cell_angle_alpha 90.00
_cell_angle_beta 90.00
_cell_angle_gamma 90.00
loop_
_atom_site_label
_atom_site_fract_x
_atom_site_fract_y
_atom_site_fract_z
_atom_site_occupancy
Sr1 0.0000 0.0000 0.0000 1
Re1 0.0000 0.0000 0.5000 1
Cl1 0.2500 0.2500 0.2500 1
```

Its raw formation energy is 0.9863 eV/atom. As for the energy above the most stable polymorph in this dataset: 0.389 eV/atom. The calculation puts the total energy at -52.07 eV/cell.



3.
Here is crystalline ZnCuRh2 at its relaxed geometry from the Alexandria database. Energies are from PBE.

```
data_ZnCuRh2
_space_group_name_H-M_alt 'P m m m'
_space_group_IT_number 47
_space_group_name_Hall '-P 2 2'
_cell_length_a 2.8114
_cell_length_b 4.3320
_cell_length_c 4.5550
_cell_angle_alpha 90.00
_cell_angle_beta 90.00
_cell_angle_gamma 90.00
loop_
_atom_site_label
_atom_site_fract_x
_atom_site_fract_y
_atom_site_fract_z
_atom_site_occupancy
Zn1 0.0000 0.0000 0.0000 1
Cu1 0.5000 0.0000 0.5000 1
Rh1 0.0000 0.5000 0.5000 1
Rh2 0.5000 0.5000 0.0000 1
```

As for the formation energy: -51 meV/atom. The calculation puts the total energy at -20.28 eV/cell.



4.
Here is crystalline AgBiPb2 at its relaxed geometry from the Alexandria database. Energies are from PBE.

```
data_AgBiPb2
_space_group_name_H-M_alt 'R 3 m'
_space_group_IT_number 160
_space_group_name_Hall 'R 3 -2"'
_cell_length_a 4.6377
_cell_length_b 4.6377
_cell_length_c 19.8608
_cell_angle_alpha 90.00
_cell_angle_beta 90.00
_cell_angle_gamma 120.00
loop_
_atom_site_label
_atom_site_fract_x
_atom_site_fract_y
_atom_site_fract_z
_atom_site_occupancy
Ag1 0.0000 0.0000 0.0000 1
Bi1 0.0000 0.0000 0.1656 1
Pb1 0.0000 0.0000 0.4015 1
Pb2 0.0000 0.0000 0.5961 1
```

As for the formation energy: 131 meV/atom. The calculation puts the total energy at -40.88 eV/cell.



5.
Here is crystalline Li2MnPd2 at its relaxed geometry from the Alexandria database. Energies are from PBE.

```
data_Li2MnPd2
_space_group_name_H-M_alt 'P 4/m b m'
_space_group_IT_number 127
_space_group_name_Hall '-P 4 2ab'
_cell_length_a 6.9267
_cell_length_b 6.9267
_cell_length_c 2.8829
_cell_angle_alpha 90.00
_cell_angle_beta 90.00
_cell_angle_gamma 90.00
loop_
_atom_site_label
_atom_site_fract_x
_atom_site_fract_y
_atom_site_fract_z
_atom_site_occupancy
Li1 0.1173 0.3827 0.0000 1
Mn1 0.0000 0.0000 0.0000 1
Pd1 0.1839 0.6839 0.5000 1
```

As for the formation energy: -210 meV/atom. As for the energy above the most stable polymorph in this dataset: 0.028 eV/atom. The calculation puts the total energy at -48.87 eV/cell.



6.
Here is crystalline K2TaAg at its relaxed geometry from the Alexandria database. Energies are from PBE.

```
data_K2TaAg
_space_group_name_H-M_alt 'P 4/m m m'
_space_group_IT_number 123
_space_group_name_Hall '-P 4 2'
_cell_length_a 3.0129
_cell_length_b 3.0129
_cell_length_c 11.7082
_cell_angle_alpha 90.00
_cell_angle_beta 90.00
_cell_angle_gamma 90.00
loop_
_atom_site_label
_atom_site_fract_x
_atom_site_fract_y
_atom_site_fract_z
_atom_site_occupancy
K1 0.0000 0.0000 0.2386 1
Ta1 0.5000 0.5000 0.5000 1
Ag1 0.5000 0.5000 0.0000 1
```

As for the formation energy: 969 meV/atom. As for the energy above the most stable polymorph in this dataset: 0.171 eV/atom. The calculation puts the total energy at -13.02 eV/cell.



7.
Here is crystalline Ac2TlRhO8 at its relaxed geometry from the Alexandria database. Energies are from PBE.

```
data_Ac2TlRhO8
_space_group_name_H-M_alt 'P -1'
_space_group_IT_number 2
_space_group_name_Hall '-P 1'
_cell_length_a 4.4958
_cell_length_b 5.4188
_cell_length_c 7.7092
_cell_angle_alpha 92.16
_cell_angle_beta 91.64
_cell_angle_gamma 93.67
loop_
_atom_site_label
_atom_site_fract_x
_atom_site_fract_y
_atom_site_fract_z
_atom_site_occupancy
Ac1 0.0324 0.4782 0.2581 1
Tl1 0.5000 0.0000 0.0000 1
Rh1 0.5000 0.0000 0.5000 1
O1 0.0817 0.8927 0.5112 1
O2 0.1327 0.7346 0.0155 1
O3 0.4398 0.2942 0.6453 1
O4 0.4502 0.1904 0.2749 1
```

Its raw formation energy is -1.6157 eV/atom. The calculation puts the total energy at -76.99 eV/cell.



8.
Here is crystalline YPt2Pb at its relaxed geometry from the Alexandria database. Energies are from PBE.

```
data_YPt2Pb
_space_group_name_H-M_alt 'C m m m'
_space_group_IT_number 65
_space_group_name_Hall '-C 2 2'
_cell_length_a 6.4733
_cell_length_b 6.8132
_cell_length_c 3.8075
_cell_angle_alpha 90.00
_cell_angle_beta 90.00
_cell_angle_gamma 90.00
loop_
_atom_site_label
_atom_site_fract_x
_atom_site_fract_y
_atom_site_fract_z
_atom_site_occupancy
Y1 0.0000 0.0000 0.0000 1
Pt1 0.2500 0.2500 0.5000 1
Pb1 0.0000 0.5000 0.0000 1
```

As for the formation energy: -681 meV/atom. The calculation puts the total energy at -49.96 eV/cell.